Here is ScTiRu2 after structural relaxation from the Alexandria database. Energies are from PBE.

Its uncorrected energy is -35.491 eV/cell. The crystal system is tetragonal. As for the energy above the most stable polymorph in this dataset: 0 meV per atom. Its magnetization is 0.00 μB/f.u. The formation energy comes out at -65 kJ/mol of atoms.

It has space group P4/mmm (No. 123), with a = 3.132 Å, b = 3.132 Å, c = 6.344 Å, α = 90.00°, β = 90.00° and γ = 90.00°. Symmetry generates all atoms from Sc at (0.000, 0.000, 0.000), Ti at (0.000, 0.000, 0.500) and Ru at (0.500, 0.500, 0.265).